VASP calculation (PBE-GGA) on an optimized crystal structure of InCuOs.

a b c (Å): 5.253 5.253 5.253
angles (deg): 145.16 145.16 50.09
Fractional positions:
1 Cu 0.012 0.012 0.000
2 In 0.336 0.336 0.000
3 Os 0.652 0.652 0.000

Properties
M_tot: 0.000 μB/cell
Space group: I4mm, No. 107
Calculated density: 13.00 g/cm³
N(E_F): 2.6 states/eV/cell
Formation energy: 0.495 eV/atom
Energy above the lowest structure with this stoichiometry: 8 meV/atom